Entry from Alexandria via LeMat-Bulk: crystalline CrSeF at its relaxed geometry (GGA+U).

POSCAR file:
```
CrSeF
1.0
11.506 0.000 0.000
0.000 5.063 0.000
0.000 0.000 5.854
Cr Se F
6 6 6
Direct
0.000 0.230 0.000 Cr
0.149 0.742 0.393 Cr
0.351 0.258 0.893 Cr
0.500 0.770 0.500 Cr
0.649 0.258 0.893 Cr
0.851 0.742 0.393 Cr
0.000 0.861 0.710 Se
0.153 0.369 0.709 Se
0.347 0.631 0.209 Se
0.500 0.139 0.210 Se
0.653 0.631 0.209 Se
0.847 0.369 0.709 Se
0.000 0.540 0.211 F
0.126 0.054 0.185 F
0.374 0.946 0.685 F
0.500 0.460 0.711 F
0.626 0.946 0.685 F
0.874 0.054 0.185 F
```

Theoretical density in Mg/m³: 4.38
Crystal system: orthorhombic
V in Å³ per atom: 18.94
Total DFT energy (no corrections) in eV/atom: -5.548